Record 1
DFT (GGA-PBEsol) results for an optimized crystal structure of SrLaTaTi2.

The formation energy from the elements is 1.28 eV/atom. The value obtained for the total magnetization is 0.00 μB per atom.

Lattice parameters (Å, degrees): 4.938 4.938 5.084 90.00 90.00 90.00
Space group P4/mmm (No. 123)
Asymmetric unit:
Sr1 0.000 0.000 0.000
La1 0.500 0.500 0.500
Ta1 0.500 0.500 0.000
Ti1 0.000 0.500 0.500

Record 2
DFT (GGA-PBEsol) results for an optimized crystal structure of SrLaTc.

For the energy relative to the lowest polymorph listed for this composition, the calculation gives 0.000 eV/atom. The formation energy from the elements is 1.20 eV/atom. The value obtained for the total magnetization is 0.00 μB per atom.

Lattice parameters (Å, degrees): 6.841 6.841 6.841 90.00 90.00 90.00
Space group F-43m (No. 216)
Asymmetric unit:
Sr1 0.000 0.000 0.000
La1 0.250 0.250 0.750
Tc1 0.000 0.000 0.500

Record 3
DFT (GGA-PBEsol) results for an optimized crystal structure of Sr2LaTe.

The uncorrected formation energy comes out at -0.608 eV per atom. The value obtained for the total magnetization is 0.00 μB per atom.

Lattice parameters (Å, degrees): 3.981 3.981 9.627 90.00 90.00 90.00
Space group P4/mmm (No. 123)
Asymmetric unit:
Sr1 0.000 0.000 0.197
La1 0.500 0.500 0.500
Te1 0.500 0.500 0.000

Record 4
DFT (GGA-PBEsol) results for an optimized crystal structure of Sr2LaTe.

The uncorrected formation energy comes out at -0.289 eV per atom. The value obtained for the total magnetization is 0.00 μB per atom.

Lattice parameters (Å, degrees): 8.187 8.187 8.187 90.00 90.00 90.00
Space group F-43m (No. 216)
Asymmetric unit:
Sr1 0.000 0.000 0.000
Sr2 0.250 0.250 0.250
La1 0.000 0.000 0.500
Te1 0.250 0.250 0.750

Record 5
DFT (GGA-PBEsol) results for an optimized crystal structure of Sr2LaW.

For the energy relative to the lowest polymorph listed for this composition, the calculation gives 0.275 eV/atom. The formation energy from the elements is 1.04 eV/atom. The value obtained for the total magnetization is 0.21 μB per atom.

Lattice parameters (Å, degrees): 4.659 4.659 5.393 90.00 90.00 90.00
Space group P4/mmm (No. 123)
Asymmetric unit:
Sr1 0.000 0.500 0.000
La1 0.000 0.000 0.500
W1 0.500 0.500 0.500

Record 6
DFT (GGA-PBEsol) results for an optimized crystal structure of Sr2LaW.

For the energy relative to the lowest polymorph listed for this composition, the calculation gives 0.337 eV/atom. The formation energy from the elements is 1.10 eV/atom. The value obtained for the total magnetization is 0.00 μB per atom.

Lattice parameters (Å, degrees): 6.290 11.145 3.202 90.00 90.00 90.00
Space group Cmmm (No. 65)
Asymmetric unit:
Sr1 0.250 0.250 0.000
La1 0.000 0.000 0.500
W1 0.000 0.500 0.500

Record 7
DFT (GGA-PBEsol) results for an optimized crystal structure of Sr2LaW.

For the energy relative to the lowest polymorph listed for this composition, the calculation gives 0.282 eV/atom. The formation energy from the elements is 1.05 eV/atom. The value obtained for the total magnetization is 0.08 μB per atom.

Lattice parameters (Å, degrees): 4.724 4.724 10.420 90.00 90.00 90.00
Space group I4/mmm (No. 139)
Asymmetric unit:
Sr1 0.000 0.500 0.250
La1 0.000 0.000 0.000
W1 0.000 0.000 0.500

Record 8
DFT (GGA-PBEsol) results for an optimized crystal structure of Sr2LaW2.

The formation energy from the elements is 1.21 eV/atom. The value obtained for the total magnetization is 0.00 μB per atom.

Lattice parameters (Å, degrees): 4.641 4.641 13.819 90.00 90.00 90.00
Space group I4/mmm (No. 139)
Asymmetric unit:
Sr1 0.000 0.500 0.250
La1 0.000 0.000 0.000
W1 0.000 0.000 0.420

Record 9
DFT (GGA-PBEsol) results for an optimized crystal structure of Sr2LaW.

For the energy relative to the lowest polymorph listed for this composition, the calculation gives 0.287 eV/atom. The formation energy from the elements is 1.06 eV/atom. The value obtained for the total magnetization is 0.00 μB per atom.

Lattice parameters (Å, degrees): 3.3293 3.3293 36.5346 90.00 90.00 120.00
Space group R-3m (No. 166, hexagonal axes)
Asymmetric unit:
Sr1 0.0000 0.0000 0.2369
La1 0.0000 0.0000 0.0000
W1 0.0000 0.0000 0.5000

Record 10
DFT (GGA-PBEsol) results for an optimized crystal structure of Sr2LaW.

For the energy relative to the lowest polymorph listed for this composition, the calculation gives 0.000 eV/atom. The formation energy from the elements is 0.77 eV/atom. The value obtained for the total magnetization is 0.00 μB per atom.

Lattice parameters (Å, degrees): 3.419 4.699 17.963 90.00 90.00 90.00
Space group Immm (No. 71)
Asymmetric unit:
Sr1 0.000 0.000 0.160
La1 0.000 0.500 0.000
W1 0.000 0.500 0.500

Record 11
DFT (GGA-PBEsol) results for an optimized crystal structure of Sr4LaW.

The formation energy from the elements is 1.30 eV/atom. The value obtained for the total magnetization is 0.48 μB per atom.

Lattice parameters (Å, degrees): 9.675 9.675 9.675 90.00 90.00 90.00
Space group F-43m (No. 216)
Asymmetric unit:
Sr1 0.124 0.124 0.376
La1 0.000 0.000 0.000
W1 0.250 0.250 0.750

Record 12
DFT (GGA-PBEsol) results for an optimized crystal structure of SrLa2Y.

For the energy relative to the lowest polymorph listed for this composition, the calculation gives 0.000 eV/atom. The formation energy from the elements is 0.08 eV/atom. The value obtained for the total magnetization is 0.00 μB per atom.

Lattice parameters (Å, degrees): 3.6949 3.6949 36.8256 90.00 90.00 120.00
Space group R-3m (No. 166, hexagonal axes)
Asymmetric unit:
Sr1 0.0000 0.0000 0.0000
La1 0.0000 0.0000 0.2437
Y1 0.0000 0.0000 0.5000

Record 13
DFT (GGA-PBEsol) results for an optimized crystal structure of SrLaY4.

The formation energy from the elements is 0.29 eV/atom. The value obtained for the total magnetization is 0.00 μB per atom.

Lattice parameters (Å, degrees): 9.513 9.513 9.513 90.00 90.00 90.00
Space group F-43m (No. 216)
Asymmetric unit:
Sr1 0.000 0.000 0.000
La1 0.250 0.250 0.250
Y1 0.123 0.123 0.623

Record 14
DFT (GGA-PBEsol) results for an optimized crystal structure of SrLa2Y.

For the energy relative to the lowest polymorph listed for this composition, the calculation gives 0.031 eV/atom. The formation energy from the elements is 0.11 eV/atom. The value obtained for the total magnetization is 0.00 μB per atom.

Lattice parameters (Å, degrees): 3.707 5.039 7.863 90.00 90.00 90.00
Space group Pmmm (No. 47)
Asymmetric unit:
Sr1 0.000 0.000 0.000
La1 0.500 0.500 0.286
Y1 0.000 0.000 0.500

Record 15
DFT (GGA-PBEsol) results for an optimized crystal structure of SrLa2Y.

For the energy relative to the lowest polymorph listed for this composition, the calculation gives 0.016 eV/atom. The formation energy from the elements is 0.10 eV/atom. The value obtained for the total magnetization is 0.00 μB per atom.

Lattice parameters (Å, degrees): 3.673 3.673 10.832 90.00 90.00 90.00
Space group P4/mmm (No. 123)
Asymmetric unit:
Sr1 0.000 0.000 0.000
La1 0.500 0.500 0.275
Y1 0.000 0.000 0.500

Record 16
DFT (GGA-PBEsol) results for an optimized crystal structure of SrLaY2.

The formation energy from the elements is 0.11 eV/atom. The value obtained for the total magnetization is 0.00 μB per atom.

Lattice parameters (Å, degrees): 3.655 3.655 10.623 90.00 90.00 90.00
Space group P4mm (No. 99)
Asymmetric unit:
Sr1 0.000 0.000 0.000
La1 0.500 0.500 0.717
Y1 0.000 0.000 0.489
Y2 0.500 0.500 0.270

Record 17
DFT (GGA-PBEsol) results for an optimized crystal structure of SrLa2Y.

For the energy relative to the lowest polymorph listed for this composition, the calculation gives 0.154 eV/atom. The formation energy from the elements is 0.24 eV/atom. The value obtained for the total magnetization is 0.22 μB per atom.

Lattice parameters (Å, degrees): 8.377 8.377 8.377 90.00 90.00 90.00
Space group F-43m (No. 216)
Asymmetric unit:
Sr1 0.000 0.000 0.000
La1 0.000 0.000 0.500
La2 0.250 0.250 0.250
Y1 0.250 0.250 0.750

Record 18
DFT (GGA-PBEsol) results for an optimized crystal structure of Sr2LaZn2.

The formation energy from the elements is -0.10 eV/atom. The value obtained for the total magnetization is 0.00 μB per atom.

Lattice parameters (Å, degrees): 7.691 7.691 5.225 90.00 90.00 90.00
Space group P4/mbm (No. 127)
Asymmetric unit:
Sr1 0.174 0.326 0.000
La1 0.000 0.000 0.500
Zn1 0.116 0.616 0.500

Record 19
DFT (GGA-PBEsol) results for an optimized crystal structure of SrLa2Zn.

The formation energy from the elements is 0.11 eV/atom. The value obtained for the total magnetization is 0.00 μB per atom.

Lattice parameters (Å, degrees): 4.872 4.872 10.036 90.00 90.00 90.00
Space group I4/mmm (No. 139)
Asymmetric unit:
Sr1 0.000 0.000 0.000
La1 0.000 0.500 0.250
Zn1 0.000 0.000 0.500

Record 20
DFT (GGA-PBEsol) results for an optimized crystal structure of SrLa2Zn.

The formation energy from the elements is -0.05 eV/atom. The value obtained for the total magnetization is 0.00 μB per atom.

Lattice parameters (Å, degrees): 3.650 5.613 12.390 90.00 90.00 90.00
Space group Immm (No. 71)
Asymmetric unit:
Sr1 0.000 0.000 0.000
La1 0.000 0.500 0.208
Zn1 0.000 0.000 0.500